(1)
# Th3HgC | the Alexandria database | PBE | optimized geometry
# energy relative to the elements	-1.21	eV/f.u.
# spin magnetization	0.00	μB per formula unit
# offset from the most stable computed form	47	meV per atom
# DFT total energy	-6.5982	eV/atom
# Fermi-level density of states	2.811	states/eV per cell
data_Th3HgC
_chemical_formula_sum 'Th3 Hg1 C1'
_space_group_name_H-M_alt 'P m -3 m'
_space_group_IT_number 221
_space_group_name_Hall '-P 4 2 3'
_cell_length_a 5.074
_cell_length_b 5.074
_cell_length_c 5.074
_cell_angle_alpha 90.00
_cell_angle_beta 90.00
_cell_angle_gamma 90.00
loop_
_atom_site_label
_atom_site_fract_x
_atom_site_fract_y
_atom_site_fract_z
_atom_site_occupancy
Th1 0.000 0.000 0.500 1
Hg1 0.500 0.500 0.500 1
C1 0.000 0.000 0.000 1

(2)
# Hf2ScV | the Alexandria database | PBE | optimized geometry
# energy relative to the elements	0.83	eV/f.u.
# spin magnetization	1.42	μB per formula unit
# offset from the most stable computed form	55	meV per atom
# DFT total energy	-8.6307	eV/atom
# Fermi-level density of states	19.998	states/eV per cell
data_Hf2ScV
_chemical_formula_sum 'Hf8 Sc4 V4'
_space_group_name_H-M_alt 'F m -3 m'
_space_group_IT_number 225
_space_group_name_Hall '-F 4 2 3'
_cell_length_a 6.877
_cell_length_b 6.877
_cell_length_c 6.877
_cell_angle_alpha 90.00
_cell_angle_beta 90.00
_cell_angle_gamma 90.00
loop_
_atom_site_label
_atom_site_fract_x
_atom_site_fract_y
_atom_site_fract_z
_atom_site_occupancy
Hf1 0.250 0.250 0.250 1
Sc1 0.000 0.000 0.000 1
V1 0.000 0.000 0.500 1

(3)
# ReSb2Br | the Alexandria database | PBE | optimized geometry
# spin magnetization	0.00	μB per formula unit
# offset from the most stable computed form	415	meV per atom
# DFT total energy	-4.9634	eV/atom
# Fermi-level density of states	8.287	states/eV per cell
data_ReSb2Br
_chemical_formula_sum 'Re2 Sb4 Br2'
_space_group_name_H-M_alt 'I m m m'
_space_group_IT_number 71
_space_group_name_Hall '-I 2 2'
_cell_length_a 3.182
_cell_length_b 4.905
_cell_length_c 12.268
_cell_angle_alpha 90.00
_cell_angle_beta 90.00
_cell_angle_gamma 90.00
loop_
_atom_site_label
_atom_site_fract_x
_atom_site_fract_y
_atom_site_fract_z
_atom_site_occupancy
Re1 0.000 0.000 0.000 1
Sb1 0.000 0.500 0.318 1
Br1 0.000 0.000 0.500 1

(4)
# Er6InSe3S2 | the Alexandria database | PBE | optimized geometry
# spin magnetization	0.00	μB per formula unit
# DFT total energy	-5.5990	eV/atom
# Fermi-level density of states	10.488	states/eV per cell
data_Er6InSe3S2
_chemical_formula_sum 'Er12 In2 Se6 S4'
_space_group_name_H-M_alt 'C 1 2/m 1'
_space_group_IT_number 12
_cell_length_a 17.722
_cell_length_b 3.938
_cell_length_c 8.287
_cell_angle_alpha 90.00
_cell_angle_beta 104.06
_cell_angle_gamma 90.00
loop_
_space_group_symop_operation_xyz
'x,y,z'
'-x,-y,-z'
'-x,y,-z'
'x,-y,z'
'x+1/2,y+1/2,z'
'-x+1/2,-y+1/2,-z'
'-x+1/2,y+1/2,-z'
'x+1/2,-y+1/2,z'
loop_
_atom_site_label
_atom_site_fract_x
_atom_site_fract_y
_atom_site_fract_z
_atom_site_occupancy
Er1 0.006 0.000 0.263 1
Er2 0.170 0.500 0.102 1
Er3 0.172 0.500 0.572 1
In1 0.000 0.500 0.000 1
Se1 0.000 0.500 0.500 1
Se2 0.165 0.000 0.830 1
S1 0.170 0.000 0.339 1

(5)
# YInTe4 | the Alexandria database | PBE | optimized geometry
# spin magnetization	0.00	μB per formula unit
# offset from the most stable computed form	0	meV per atom
# DFT total energy	-4.1260	eV/atom
# Fermi-level density of states	16.423	states/eV per cell
data_YInTe4
_chemical_formula_sum 'Y4 In4 Te16'
_space_group_name_H-M_alt 'C m c m'
_space_group_IT_number 63
_space_group_name_Hall '-C 2c 2'
_cell_length_a 10.372
_cell_length_b 8.288
_cell_length_c 9.894
_cell_angle_alpha 90.00
_cell_angle_beta 90.00
_cell_angle_gamma 90.00
loop_
_atom_site_label
_atom_site_fract_x
_atom_site_fract_y
_atom_site_fract_z
_atom_site_occupancy
Y1 0.000 0.092 0.250 1
In1 0.000 0.461 0.750 1
Te1 0.000 0.205 0.552 1
Te2 0.224 0.349 0.250 1

(6)
# LaTaTl | the Alexandria database | PBE | optimized geometry
# energy relative to the elements	1.43	eV/f.u.
# spin magnetization	0.00	μB per formula unit
# offset from the most stable computed form	134	meV per atom
# DFT total energy	-5.9069	eV/atom
# Fermi-level density of states	4.616	states/eV per cell
data_LaTaTl
_chemical_formula_sum 'La1 Ta1 Tl1'
_space_group_name_H-M_alt 'P -6 m 2'
_space_group_IT_number 187
_space_group_name_Hall 'P -6 2'
_cell_length_a 5.2553
_cell_length_b 5.2553
_cell_length_c 3.2091
_cell_angle_alpha 90.00
_cell_angle_beta 90.00
_cell_angle_gamma 120.00
loop_
_atom_site_label
_atom_site_fract_x
_atom_site_fract_y
_atom_site_fract_z
_atom_site_occupancy
La1 0.0000 0.0000 0.0000 1
Ta1 0.3333 0.6667 0.5000 1
Tl1 0.6667 0.3333 0.5000 1